Material: IrPbSe2
Method: DFT, PBE
State: relaxed

Structure (POSCAR):
```
IrPbSe2
1.0
6.450 0.000 0.000
0.000 6.450 0.000
0.000 0.000 11.054
Ir Pb Se
4 4 8
Direct
0.000 0.000 0.000 Ir
0.000 0.500 0.250 Ir
0.500 0.000 0.750 Ir
0.500 0.500 0.500 Ir
0.000 0.000 0.500 Pb
0.000 0.500 0.750 Pb
0.500 0.000 0.250 Pb
0.500 0.500 0.000 Pb
0.176 0.250 0.125 Se
0.250 0.676 0.375 Se
0.250 0.824 0.875 Se
0.324 0.250 0.625 Se
0.676 0.750 0.625 Se
0.750 0.176 0.875 Se
0.750 0.324 0.375 Se
0.824 0.750 0.125 Se
```

Computed properties:
- SG = No. 122
- uncorrected energy (eV/cell) = -77.7